This record from Alexandria describes KYZr after structural relaxation. The functional is PBE-GGA.

Cell and atoms, written as POSCAR:
```
KYZr
1.0
3.4641 0.0000 0.0000
0.0000 5.1887 0.0000
-1.6279 0.0000 12.8988
K Y Zr
2 2 2
Cartesian
-0.0022 1.2972 4.7944
1.8384 3.8915 8.1044
0.1049 1.2972 10.8246
1.7313 3.8915 2.0742
0.0000 1.2972 0.6579
1.8361 3.8915 12.2409
```

Calculated values
The energy above the most stable polymorph in this dataset comes out at 116.2 meV per atom. The calculation puts the spin magnetization at 0.6 μB per formula unit. Its formation enthalpy at 0 K is 0.281 eV/atom.